Density functional theory data (PBE) for a relaxed structure of Cs4Se2F.

```
7
Lattice="-2.8626 2.8626 9.2181 2.8626 -2.8626 9.2181 2.8626 2.8626 -9.2181" Properties=species:S:1:pos:R:3 pbc="T T T"
Cs 2.8626 0.0000 0.0000
Cs 0.0000 0.0000 3.1900
Cs 0.0000 2.8626 0.0000
Cs 0.0000 0.0000 15.2461
Se 0.0000 0.0000 6.7737
Se 0.0000 0.0000 11.6624
F 0.0000 0.0000 0.0000
```

Properties
Space group: I4/mmm (139)
Magnetic moment (μB per atom): 0.155
Electronic total energy (eV per atom): -3.132